Record 1
CaBe2Cu: relaxed, GGA-PBEsol.

abc: 2.8767 2.8767 6.6754
angles: 90.00 90.00 90.00
Last column: nearest neighbours and their distance in Å.
Space group P4mm (No. 99)
One atom of each set of equivalent atoms:
Ca 0.0000 0.0000 0.0000  4 Ca 2.88, 4 Be 2.99, 4 Cu 3.02
Be 0.0000 0.0000 0.5100  4 Be 2.31, 4 Cu 2.35
Be 0.5000 0.5000 0.6726  1 Cu 2.26, 4 Be 2.31
Cu 0.5000 0.5000 0.3340  5 Be 2.26-2.35

Properties
DOS(E_F): 1.8 states/eV/cell
Formation energy from the elements: 0.2681 eV/atom
Offset from the most stable computed form: 10.6 kJ/mol of formula units

Record 2
InNi4Au: relaxed, GGA-PBEsol.

abc: 6.7545 6.7545 6.7545
angles: 90.00 90.00 90.00
Last column: nearest neighbours and their distance in Å.
Space group F-43m (No. 216)
One atom of each set of equivalent atoms:
In 0.0000 0.0000 0.0000  12 Ni 2.80, 4 Au 2.92
Ni 0.1248 0.1248 0.3752  6 Ni 2.38-2.39
Au 0.2500 0.2500 0.7500  12 Ni 2.80, 4 In 2.92

Properties
DOS(E_F): 27.4 states/eV/cell
Formation energy from the elements: -0.0209 eV/atom

Record 3
Zr5CdPb3: relaxed, GGA-PBEsol.

abc: 8.7752 8.7752 5.9236
angles: 90.00 90.00 120.00
Last column: nearest neighbours and their distance in Å.
Space group P6_3/mcm (No. 193)
One atom of each set of equivalent atoms:
Zr 0.0000 0.2818 0.2500  2 Cd 2.88, 5 Pb 2.98-3.08
Zr 0.3333 0.6667 0.0000  2 Zr 2.96, 6 Pb 3.12
Cd 0.0000 0.0000 0.0000  6 Zr 2.88, 2 Cd 2.96
Pb 0.0000 0.3784 0.7500  9 Zr 2.98-3.12

Properties
DOS(E_F): 13.8 states/eV/cell
Formation energy from the elements: -0.3255 eV/atom

Record 4
TlIn3Se4: relaxed, GGA-PBEsol.

abc: 7.9316 7.9316 6.7672
angles: 90.00 90.00 90.00
Last column: nearest neighbours and their distance in Å.
Space group I422 (No. 97)
One atom of each set of equivalent atoms:
Tl 0.0000 0.0000 0.0000  8 Se 3.37, 2 In 3.38
In 0.0000 0.0000 0.5000  8 Se 3.37, 2 Tl 3.38
In 0.0000 0.5000 0.0000  4 Se 2.62
Se 0.1783 0.3217 0.7500  2 In 2.62

Properties
DOS(E_F): 0.3 states/eV/cell

Record 5
AgMoW: relaxed, GGA-PBEsol.

abc: 2.6494 2.6494 13.4555
angles: 90.00 90.00 90.00
Last column: nearest neighbours and their distance in Å.
Space group I4mm (No. 107)
One atom of each set of equivalent atoms:
Ag 0.0000 0.0000 0.0000  4 Ag 2.65, 4 W 2.92, 4 Mo 2.92
Mo 0.0000 0.0000 0.6666  4 Mo 2.65, 4 Ag 2.92, 4 W 2.92
W 0.0000 0.0000 0.3335  4 W 2.65, 4 Ag 2.92, 4 Mo 2.92

Properties
DOS(E_F): 3.2 states/eV/cell
Formation energy from the elements: 0.4803 eV/atom
Offset from the most stable computed form: 0.0 kJ/mol of formula units

Record 6
Ti3PdC: relaxed, GGA-PBEsol.

abc: 4.1181 4.1181 4.1181
angles: 90.00 90.00 90.00
Last column: nearest neighbours and their distance in Å.
Space group Pm-3m (No. 221)
One atom of each set of equivalent atoms:
Ti 0.0000 0.0000 0.5000  2 C 2.06
Pd 0.5000 0.5000 0.5000  12 Ti 2.91
C 0.0000 0.0000 0.0000  6 Ti 2.06

Properties
DOS(E_F): 4.3 states/eV/cell
Formation energy from the elements: -0.5814 eV/atom

Record 7
CdAs: relaxed, GGA-PBEsol.

abc: 5.9540 7.8122 8.0105
angles: 90.00 90.00 90.00
Last column: nearest neighbours and their distance in Å.
Space group Pbca (No. 61)
One atom of each set of equivalent atoms:
Cd 0.0460 0.1299 0.1380  4 As 2.63-2.91
As 0.1343 0.5658 0.9029  1 As 2.46, 3 Cd 2.63-2.72

Properties
DOS(E_F): 0.3 states/eV/cell
Formation energy from the elements: -0.0474 eV/atom
Offset from the most stable computed form: 0.0 kJ/mol of formula units

Record 8
Nd2InCuS5: relaxed, GGA-PBEsol.

abc: 11.4187 3.8603 16.4523
angles: 90.00 90.00 90.00
Last column: nearest neighbours and their distance in Å.
Space group Pnma (No. 62)
One atom of each set of equivalent atoms:
Nd 0.0229 0.2500 0.1792  8 S 2.86-3.11, 1 Cu 3.13
Nd 0.1364 0.7500 0.5959  8 S 2.84-3.10
In 0.1932 0.7500 0.3626  6 S 2.55-2.73
Cu 0.0804 0.7500 0.9969  4 S 2.25-2.43
S 0.0143 0.2500 0.6947  1 In 2.55
S 0.0984 0.2500 0.9229  3 Cu 2.29-2.43
S 0.1087 0.2500 0.4641  2 In 2.73, 3 Nd 2.92-2.97
S 0.1827 0.7500 0.1136  1 Cu 2.25
S 0.2388 0.7500 0.7701  2 In 2.58

Record 9
Cs3MgAs: relaxed, GGA-PBEsol.

abc: 6.7967 6.7967 6.7967
angles: 90.00 90.00 90.00
Last column: nearest neighbours and their distance in Å.
Space group Pm-3m (No. 221)
One atom of each set of equivalent atoms:
Cs 0.0000 0.0000 0.5000  2 Mg 3.40
Mg 0.0000 0.0000 0.0000  6 Cs 3.40
As 0.5000 0.5000 0.5000  12 Cs 4.81

Properties
DOS(E_F): 6.4 states/eV/cell
Formation energy from the elements: 0.5420 eV/atom

Record 10
FeTe: relaxed, GGA-PBEsol.

abc: 3.2680 3.2680 7.1906
angles: 90.00 90.00 90.00
Last column: nearest neighbours and their distance in Å.
Space group P4/nmm (No. 129, origin choice 2)
One atom of each set of equivalent atoms:
Fe 0.2500 0.2500 0.0807  5 Te 2.55-2.70, 4 Fe 2.59
Te 0.2500 0.2500 0.7257  5 Fe 2.55-2.70

Properties
DOS(E_F): 3.0 states/eV/cell

Record 11
ZrFeAu: relaxed, GGA-PBEsol.

abc: 6.0041 6.0041 6.0041
angles: 90.00 90.00 90.00
Last column: nearest neighbours and their distance in Å.
Space group F-43m (No. 216)
One atom of each set of equivalent atoms:
Zr 0.0000 0.0000 0.0000  4 Fe 2.60
Fe 0.2500 0.2500 0.2500  4 Zr 2.60, 4 Au 2.60
Au 0.0000 0.0000 0.5000  4 Fe 2.60

Properties
DOS(E_F): 18.4 states/eV/cell
Formation energy from the elements: 0.1270 eV/atom

Record 12
LiTl3F: relaxed, GGA-PBEsol.

abc: 5.1121 5.1121 5.1121
angles: 90.00 90.00 90.00
Last column: nearest neighbours and their distance in Å.
Space group Pm-3m (No. 221)
One atom of each set of equivalent atoms:
Li 0.0000 0.0000 0.0000  12 Tl 3.61
Tl 0.0000 0.5000 0.5000  2 F 2.56
F 0.5000 0.5000 0.5000  6 Tl 2.56

Properties
DOS(E_F): 1.8 states/eV/cell

Record 13
MnCuHPd2: relaxed, GGA-PBEsol.

abc: 4.7754 4.7754 2.8785
angles: 90.00 90.00 90.00
Last column: nearest neighbours and their distance in Å.
Space group P4/mmm (No. 123)
One atom of each set of equivalent atoms:
Mn 0.0000 0.0000 0.0000  8 Pd 2.79, 2 Mn 2.88
Cu 0.5000 0.5000 0.5000  2 H 1.44
H 0.5000 0.5000 0.0000  2 Cu 1.44
Pd 0.0000 0.5000 0.5000  2 Cu 2.39

Properties
DOS(E_F): 2.0 states/eV/cell

Record 14
CaTc2NiCl: relaxed, GGA-PBEsol.

abc: 4.2756 4.2756 4.8727
angles: 90.00 90.00 90.00
Last column: nearest neighbours and their distance in Å.
Space group P4/mmm (No. 123)
One atom of each set of equivalent atoms:
Ca 0.0000 0.0000 0.0000  2 Cl 2.44
Tc 0.0000 0.5000 0.5000  2 Cl 2.14
Ni 0.5000 0.5000 0.0000  4 Ca 3.02, 8 Tc 3.24
Cl 0.0000 0.0000 0.5000  4 Tc 2.14

Properties
DOS(E_F): 6.2 states/eV/cell

Record 15
CuNiAu3: relaxed, GGA-PBEsol.

abc: 4.6014 4.6014 4.6014
angles: 90.00 90.00 90.00
Last column: nearest neighbours and their distance in Å.
Space group Pm-3m (No. 221)
One atom of each set of equivalent atoms:
Cu 0.0000 0.0000 0.0000  6 Au 2.30
Ni 0.5000 0.5000 0.5000  12 Au 3.25
Au 0.0000 0.0000 0.5000  2 Cu 2.30

Properties
DOS(E_F): 7.6 states/eV/cell
Formation energy from the elements: 1.0599 eV/atom

Record 16
Sc2TiAs2: relaxed, GGA-PBEsol.

abc: 3.9467 3.9467 12.0349
angles: 90.00 90.00 90.00
Last column: nearest neighbours and their distance in Å.
Space group I4/mmm (No. 139)
One atom of each set of equivalent atoms:
Sc 0.0000 0.5000 0.2500  4 As 2.65, 4 Sc 2.79
Ti 0.0000 0.0000 0.0000  8 As 3.05
As 0.0000 0.0000 0.3970  1 As 2.48, 4 Sc 2.65

Properties
DOS(E_F): 10.8 states/eV/cell
Formation energy from the elements: -0.4220 eV/atom

Record 17
Li5SnP4O14: relaxed, GGA-PBEsol.

abc: 6.8117 8.7225 9.5247
angles: 79.93 78.08 72.12
Last column: nearest neighbours and their distance in Å.
Space group P-1 (No. 2)
One atom of each set of equivalent atoms:
Li 0.0577 0.0196 0.1229  4 O 1.90-2.11
Li 0.2356 0.2333 0.9112  4 O 1.92-2.13
Li 0.2711 0.7590 0.5729  4 O 1.98-2.08
Li 0.3343 0.7082 0.2388  4 O 1.97-2.13
Li 0.4405 0.9703 0.3705  4 O 1.96-2.09
Sn 0.1277 0.3590 0.2547  6 O 2.18-2.38
P 0.0938 0.1271 0.5841  4 O 1.51-1.63
P 0.1876 0.6159 0.9643  4 O 1.49-1.61
P 0.3033 0.3834 0.5592  4 O 1.53-1.61
P 0.4171 0.8558 0.9226  4 O 1.51-1.64
O 0.0037 0.2560 0.0957  1 P 1.57
O 0.0391 0.1783 0.4298  1 P 1.55
O 0.0925 0.8932 0.3053  1 P 1.51
O 0.1386 0.2825 0.6304  2 P 1.61-1.63
O 0.1609 0.6138 0.1296  1 P 1.55
O 0.2103 0.5422 0.6258  1 P 1.53
O 0.2164 0.9943 0.9097  1 P 1.53
O 0.2295 0.4539 0.9156  1 P 1.49
O 0.2966 0.9886 0.5798  1 P 1.53
O 0.3111 0.4105 0.3939  1 P 1.54
O 0.3808 0.6884 0.8917  2 P 1.61-1.64
O 0.3980 0.1336 0.2009  1 P 1.55
O 0.4700 0.8292 0.0732  1 P 1.51
O 0.4870 0.7207 0.3991  1 P 1.53

Properties
DOS(E_F): 3.1 states/eV/cell

Record 18
Al3Fe3Si2: relaxed, GGA-PBEsol.

abc: 4.6564 6.1391 7.3286
angles: 102.61 101.12 98.84
Last column: nearest neighbours and their distance in Å.
Space group P-1 (No. 2)
One atom of each set of equivalent atoms:
Al 0.0397 0.3879 0.3343  5 Fe 2.42-2.49, 1 Al 2.64
Al 0.2160 0.9409 0.4392  3 Fe 2.37-2.42, 3 Al 2.50-2.64
Al 0.2905 0.0408 0.1170  6 Fe 2.41-2.58, 2 Si 2.53-2.61, 1 Al 2.64
Fe 0.2066 0.0097 0.7753  2 Si 2.26-2.36, 5 Al 2.37-2.42
Fe 0.3617 0.6626 0.9523  4 Si 2.23-2.39, 3 Al 2.45-2.48
Fe 0.4388 0.6722 0.5807  2 Si 2.37-2.43, 5 Al 2.39-2.49, 1 Fe 2.39
Si 0.0819 0.3260 0.9362  3 Fe 2.23-2.37, 1 Si 2.43
Si 0.4477 0.3517 0.7239  5 Fe 2.36-2.43, 1 Si 2.53

Properties
DOS(E_F): 6.0 states/eV/cell

Record 19
CuO: relaxed, GGA-PBEsol.

abc: 4.0614 4.1023 5.0929
angles: 90.00 90.00 90.00
Last column: nearest neighbours and their distance in Å.
Space group Cccm (No. 66)
One atom of each set of equivalent atoms:
Cu 0.2500 0.2500 0.0000  4 O 1.92
O 0.0000 0.0000 0.2500  4 Cu 1.92

Properties
DOS(E_F): 4.3 states/eV/cell

Record 20
RbTlAsSe2: relaxed, GGA-PBEsol.

abc: 5.5043 5.5043 5.3014
angles: 90.00 90.00 90.00
Last column: nearest neighbours and their distance in Å.
Space group P4/mmm (No. 123)
One atom of each set of equivalent atoms:
Rb 0.0000 0.0000 0.0000  8 Se 3.82, 4 As 3.89
Tl 0.5000 0.5000 0.5000  2 As 2.65, 4 Se 2.75
As 0.5000 0.5000 0.0000  2 Tl 2.65
Se 0.0000 0.5000 0.5000  2 Tl 2.75

Properties
DOS(E_F): 4.9 states/eV/cell
Offset from the most stable computed form: 0.0 kJ/mol of formula units

Final energy, respectively: -3.349, -5.277, -6.841, -3.825, -9.149, -8.695, -3.199, -5.819, -1.388, -6.158, -7.199, -2.892, -5.426, -5.641, -3.393, -6.771, -6.810, -6.741, -5.384, -3.126 eV per atom.